# 1
This record from the Alexandria database describes a geometry-optimized CdBiSb structure. The functional is GGA-PBE.

The mass density is 8.103 g/cm3. The electronic total energy is -2.924 eV per atom. For the formation energy without anion corrections, the calculation gives 0.0486 eV per atom.

It has space group P1 (No. 1), with a = 4.302 Å, b = 6.592 Å, c = 6.951 Å, α = 103.75°, β = 107.66° and γ = 90.83°. The asymmetric unit holds Cd at (0.000, 0.000, 0.000), Cd at (0.005, 0.491, 0.015), Bi at (0.342, 0.180, 0.689), Bi at (0.345, 0.662, 0.700), Sb at (0.668, 0.050, 0.336) and Sb at (0.672, 0.610, 0.344).

# 2
This record from the Alexandria database describes a geometry-optimized Na3NpSn2Te6 structure. The functional is GGA-PBE.

The mass density is 5.539 g/cm3. The electronic total energy is -4.267 eV per atom. For the formation energy without anion corrections, the calculation gives -0.6214 eV per atom.

It has space group C2/m (No. 12), with a = 7.826 Å, b = 13.552 Å, c = 7.848 Å, α = 90.00°, β = 109.45° and γ = 90.00°. The asymmetric unit holds Na at (0.000, 0.000, 0.000), Na at (0.000, 0.327, 0.000), Np at (0.000, 0.500, 0.500), Sn at (0.000, 0.165, 0.500), Te at (0.238, 0.339, 0.731) and Te at (0.244, 0.500, 0.269).